A relaxed structure of Na3BiO3. Source: the Alexandria database, functional PBEsol.

Calculated values
**DFT total energy**: -4.84 eV/atom
**E above lowest polymorph**: 32.8 meV/atom
**Calculated volume**: 123.3 Å³/f.u.
**Formation energy (no corrections)**: -1378 meV per atom
**SG**: P-1, No. 2

Lattice parameters (Å, degrees): 10.057 9.940 11.737 73.55 64.93 95.66
Positions (direct):
O 0.006 0.348 0.119
O 0.158 0.724 0.421
O 0.642 0.169 0.399
O 0.743 0.485 0.743
O 0.842 0.276 0.579
O 0.302 0.260 0.076
O 0.257 0.515 0.257
O 0.563 0.916 0.715
O 0.437 0.084 0.285
O 0.813 0.537 0.321
O 0.366 0.601 0.840
O 0.535 0.654 0.351
O 0.029 0.138 0.360
O 0.698 0.740 0.924
O 0.714 0.723 0.497
O 0.994 0.652 0.881
O 0.400 0.840 0.133
O 0.286 0.277 0.503
O 0.971 0.862 0.640
O 0.187 0.463 0.679
O 0.634 0.399 0.160
O 0.358 0.831 0.601
O 0.600 0.160 0.867
O 0.465 0.346 0.649
Na 0.620 0.926 0.502
Na 0.094 0.303 0.443
Na 0.580 0.158 0.673
Na 0.248 0.480 0.071
Na 0.528 0.645 0.149
Na 0.472 0.355 0.851
Na 0.441 0.603 0.607
Na 0.123 0.476 0.886
Na 0.627 0.693 0.765
Na 0.718 0.470 0.552
Na 0.559 0.397 0.393
Na 0.282 0.530 0.448
Na 0.906 0.697 0.557
Na 0.877 0.524 0.114
Na 0.568 0.915 0.913
Na 0.132 0.688 0.644
Na 0.868 0.312 0.356
Na 0.380 0.074 0.498
Na 0.373 0.307 0.235
Na 0.752 0.520 0.929
Na 0.432 0.085 0.087
Na 0.420 0.842 0.327
Na 0.843 0.028 0.582
Na 0.157 0.972 0.418
Bi 0.759 0.735 0.304
Bi 0.184 0.708 0.239
Bi 0.816 0.292 0.761
Bi 0.333 0.809 0.791
Bi 0.074 0.157 0.165
Bi 0.667 0.191 0.209
Bi 0.241 0.265 0.696
Bi 0.926 0.843 0.835

A relaxed structure of Na3BiO3. Source: the Alexandria database, functional PBEsol.

Calculated values
**DFT total energy**: -4.87 eV/atom
**E above lowest polymorph**: 0.0 meV/atom
**Calculated volume**: 111.7 Å³/f.u.
**Formation energy (no corrections)**: -1411 meV per atom
**SG**: I-43m, No. 217

Lattice parameters (Å, degrees): 8.342 8.342 8.342 109.47 109.47 109.47
Positions (direct):
Na 0.278 0.525 0.000
Na 0.000 0.278 0.525
Na 0.475 0.753 0.475
Na 0.722 0.247 0.722
Na 0.475 0.475 0.753
Na 0.525 0.000 0.278
Na 0.278 0.000 0.525
Na 0.722 0.722 0.247
Na 0.000 0.525 0.278
Na 0.525 0.278 0.000
Na 0.753 0.475 0.475
Na 0.247 0.722 0.722
O 0.229 0.229 0.745
O 0.000 0.516 0.771
O 0.745 0.229 0.229
O 0.000 0.771 0.516
O 0.516 0.771 0.000
O 0.255 0.484 0.484
O 0.516 0.000 0.771
O 0.229 0.745 0.229
O 0.771 0.516 0.000
O 0.484 0.484 0.255
O 0.484 0.255 0.484
O 0.771 0.000 0.516
Bi 0.718 0.000 0.000
Bi 0.282 0.282 0.282
Bi 0.000 0.718 0.000
Bi 0.000 0.000 0.718

A relaxed structure of Na11Bi5O16. Source: the Alexandria database, functional PBEsol.

Calculated values
**DFT total energy**: -5.10 eV/atom
**Calculated volume**: 429.3 Å³/f.u.
**Formation energy (no corrections)**: -1323 meV per atom
**SG**: P4_232, No. 208

Lattice parameters (Å, degrees): 9.504 9.504 9.504 90.00 90.00 90.00
Positions (direct):
Na 0.260 0.500 0.500
Na 0.500 0.250 0.000
Na 0.750 0.750 0.750
Na 0.240 0.000 0.000
Na 0.500 0.500 0.740
Na 0.750 0.250 0.250
Na 0.000 0.500 0.250
Na 0.000 0.000 0.240
Na 0.760 0.000 0.000
Na 0.500 0.260 0.500
Na 0.500 0.750 0.000
Na 0.000 0.760 0.000
Na 0.000 0.500 0.750
Na 0.500 0.500 0.260
Na 0.250 0.000 0.500
Na 0.750 0.000 0.500
Na 0.740 0.500 0.500
Na 0.250 0.250 0.750
Na 0.250 0.750 0.250
Na 0.000 0.000 0.760
Na 0.500 0.740 0.500
Na 0.000 0.240 0.000
O 0.759 0.749 0.478
O 0.478 0.759 0.749
O 0.478 0.241 0.251
O 0.751 0.741 0.022
O 0.251 0.522 0.759
O 0.000 0.500 0.000
O 0.749 0.522 0.241
O 0.259 0.022 0.249
O 0.978 0.751 0.259
O 0.749 0.478 0.759
O 0.500 0.500 0.000
O 0.500 0.500 0.500
O 0.000 0.000 0.000
O 0.241 0.251 0.478
O 0.500 0.000 0.500
O 0.759 0.251 0.522
O 0.249 0.259 0.022
O 0.241 0.749 0.522
O 0.259 0.978 0.751
O 0.522 0.759 0.251
O 0.022 0.249 0.259
O 0.249 0.741 0.978
O 0.251 0.478 0.241
O 0.978 0.249 0.741
O 0.751 0.259 0.978
O 0.741 0.022 0.751
O 0.522 0.241 0.749
O 0.500 0.000 0.000
O 0.000 0.500 0.500
O 0.000 0.000 0.500
O 0.022 0.751 0.741
O 0.741 0.978 0.249
Bi 0.750 0.750 0.250
Bi 0.250 0.500 0.000
Bi 0.250 0.750 0.750
Bi 0.750 0.250 0.750
Bi 0.500 0.000 0.750
Bi 0.000 0.750 0.500
Bi 0.500 0.000 0.250
Bi 0.000 0.250 0.500
Bi 0.250 0.250 0.250
Bi 0.750 0.500 0.000

A relaxed structure of Na3BiP4O14. Source: the Alexandria database, functional PBEsol.

Calculated values
**DFT total energy**: -6.74 eV/atom
**Calculated volume**: 304.9 Å³/f.u.
**Formation energy (no corrections)**: -1957 meV per atom
**SG**: P-1, No. 2

Lattice parameters (Å, degrees): 7.573 9.585 9.173 85.10 78.02 69.46
Positions (direct):
O 0.931 0.628 0.602
O 0.712 0.070 0.618
O 0.640 0.838 0.068
O 0.703 0.475 0.448
O 0.231 0.945 0.954
O 0.773 0.551 0.098
O 0.140 0.038 0.639
O 0.562 0.197 0.398
O 0.617 0.667 0.878
O 0.227 0.449 0.902
O 0.297 0.525 0.552
O 0.769 0.055 0.046
O 0.383 0.333 0.122
O 0.860 0.962 0.361
O 0.874 0.878 0.841
O 0.981 0.784 0.092
O 0.576 0.309 0.850
O 0.108 0.803 0.576
O 0.438 0.803 0.602
O 0.872 0.332 0.652
O 0.288 0.930 0.382
O 0.892 0.197 0.424
O 0.126 0.122 0.159
O 0.069 0.372 0.398
O 0.128 0.668 0.348
O 0.019 0.216 0.908
O 0.424 0.691 0.150
O 0.360 0.162 0.932
P 0.617 0.678 0.040
P 0.821 0.890 0.013
P 0.116 0.644 0.520
P 0.745 0.109 0.448
P 0.383 0.322 0.960
P 0.884 0.356 0.480
P 0.179 0.110 0.987
P 0.255 0.891 0.552
Na 0.498 0.445 0.302
Na 0.043 0.528 0.186
Na 0.674 0.834 0.692
Na 0.326 0.166 0.308
Na 0.957 0.472 0.814
Na 0.502 0.555 0.698
Bi 0.145 0.874 0.213
Bi 0.855 0.126 0.787

A relaxed structure of NaBiP2O. Source: the Alexandria database, functional PBEsol.

Calculated values
**DFT total energy**: -4.06 eV/atom
**Calculated volume**: 122.7 Å³/f.u.
**Formation energy (no corrections)**: 446 meV per atom
**SG**: P4/mmm, No. 123

Lattice parameters (Å, degrees): 4.306 5.338 5.338 90.00 90.00 90.00
Positions (direct):
Bi 0.000 0.000 0.000
Na 0.500 0.500 0.500
P 0.000 0.500 0.000
P 0.000 0.000 0.500
O 0.500 0.000 0.000

A relaxed structure of Na5BiP4O14. Source: the Alexandria database, functional PBEsol.

Calculated values
**DFT total energy**: -6.67 eV/atom
**Calculated volume**: 306.3 Å³/f.u.
**Formation energy (no corrections)**: -2175 meV per atom
**SG**: P-1, No. 2

Lattice parameters (Å, degrees): 7.310 9.302 9.810 81.30 78.11 70.44
Positions (direct):
O 0.034 0.238 0.873
O 0.574 0.671 0.898
O 0.392 0.669 0.151
O 0.621 0.820 0.083
O 0.772 0.035 0.045
O 0.240 0.475 0.908
O 0.187 0.039 0.623
O 0.379 0.180 0.917
O 0.228 0.965 0.955
O 0.895 0.828 0.877
O 0.315 0.920 0.388
O 0.887 0.323 0.617
O 0.685 0.080 0.612
O 0.101 0.356 0.383
O 0.888 0.193 0.407
O 0.105 0.172 0.123
O 0.966 0.762 0.127
O 0.608 0.331 0.849
O 0.113 0.677 0.383
O 0.813 0.961 0.377
O 0.535 0.214 0.398
O 0.899 0.644 0.617
O 0.465 0.786 0.602
O 0.112 0.807 0.593
O 0.724 0.481 0.418
O 0.760 0.525 0.092
O 0.276 0.519 0.582
O 0.426 0.329 0.102
P 0.280 0.891 0.549
P 0.180 0.134 0.971
P 0.720 0.109 0.451
P 0.411 0.339 0.948
P 0.589 0.661 0.052
P 0.100 0.651 0.545
P 0.820 0.866 0.029
P 0.900 0.349 0.455
Na 0.243 0.733 0.881
Na 0.757 0.267 0.119
Na 0.566 0.524 0.661
Na 0.271 0.266 0.595
Na 0.659 0.845 0.729
Na 0.341 0.155 0.271
Na 0.729 0.734 0.405
Na 0.434 0.476 0.339
Na 0.934 0.510 0.840
Na 0.066 0.490 0.160
Bi 0.129 0.878 0.229
Bi 0.871 0.122 0.771

A relaxed structure of NaBiPb2O. Source: the Alexandria database, functional PBEsol.

Calculated values
**DFT total energy**: -3.67 eV/atom
**Calculated volume**: 159.9 Å³/f.u.
**Formation energy (no corrections)**: 121 meV per atom
**SG**: P4/mmm, No. 123

Lattice parameters (Å, degrees): 4.264 6.124 6.124 90.00 90.00 90.00
Positions (direct):
Na 0.500 0.500 0.500
Pb 0.000 0.500 0.000
Pb 0.000 0.000 0.500
O 0.500 0.000 0.000
Bi 0.000 0.000 0.000

A relaxed structure of NaBi2Sb3O11. Source: the Alexandria database, functional PBEsol.

Calculated values
**DFT total energy**: -6.28 eV/atom
**Calculated volume**: 215.9 Å³/f.u.
**Formation energy (no corrections)**: -1495 meV per atom
**SG**: Pn-3, No. 201

Lattice parameters (Å, degrees): 9.523 9.523 9.523 90.00 90.00 90.00
Positions (direct):
O 0.211 0.500 0.163
O 0.163 0.789 0.500
O 0.897 0.897 0.897
O 0.397 0.603 0.397
O 0.337 0.289 0.000
O 0.500 0.138 0.500
O 0.103 0.103 0.897
O 0.211 0.500 0.837
O 0.500 0.163 0.211
O 0.638 0.000 0.000
O 0.789 0.500 0.837
O 0.862 0.500 0.500
O 0.711 0.000 0.663
O 0.000 0.663 0.289
O 0.000 0.337 0.711
O 0.163 0.211 0.500
O 0.000 0.663 0.711
O 0.897 0.103 0.103
O 0.500 0.500 0.138
O 0.138 0.500 0.500
O 0.337 0.711 0.000
O 0.000 0.000 0.362
O 0.603 0.397 0.397
O 0.362 0.000 0.000
O 0.837 0.211 0.500
O 0.500 0.837 0.789
O 0.000 0.638 0.000
O 0.500 0.837 0.211
O 0.500 0.163 0.789
O 0.500 0.500 0.862
O 0.000 0.000 0.638
O 0.789 0.500 0.163
O 0.500 0.862 0.500
O 0.603 0.603 0.603
O 0.289 0.000 0.663
O 0.711 0.000 0.337
O 0.663 0.289 0.000
O 0.000 0.337 0.289
O 0.397 0.397 0.603
O 0.663 0.711 0.000
O 0.837 0.789 0.500
O 0.000 0.362 0.000
O 0.103 0.897 0.103
O 0.289 0.000 0.337
Sb 0.500 0.839 0.000
Sb 0.000 0.339 0.500
Sb 0.339 0.500 0.000
Sb 0.500 0.161 0.000
Sb 0.661 0.500 0.000
Sb 0.000 0.500 0.161
Sb 0.500 0.000 0.661
Sb 0.839 0.000 0.500
Sb 0.000 0.661 0.500
Sb 0.500 0.000 0.339
Sb 0.161 0.000 0.500
Sb 0.000 0.500 0.839
Bi 0.373 0.373 0.373
Bi 0.373 0.627 0.627
Bi 0.127 0.127 0.127
Bi 0.627 0.627 0.373
Bi 0.127 0.873 0.873
Bi 0.873 0.873 0.127
Bi 0.873 0.127 0.873
Bi 0.627 0.373 0.627
Na 0.250 0.250 0.750
Na 0.250 0.750 0.250
Na 0.750 0.750 0.750
Na 0.750 0.250 0.250

A relaxed structure of NaTa4Bi5O18. Source: the Alexandria database, functional PBEsol.

Calculated values
**DFT total energy**: -8.14 eV/atom
**Calculated volume**: 374.0 Å³/f.u.
**Formation energy (no corrections)**: -2158 meV per atom
**SG**: Cm, No. 8

Lattice parameters (Å, degrees): 5.450 5.493 12.788 89.98 77.70 89.92
Positions (direct):
Bi 0.071 0.473 0.399
Bi 0.519 0.971 0.398
Bi 0.917 0.971 0.602
Bi 0.470 0.473 0.601
Bi 0.758 0.996 0.000
O 0.479 0.051 0.687
O 0.830 0.566 0.687
O 0.740 0.743 0.497
O 0.517 0.567 0.313
O 0.959 0.355 0.179
O 0.138 0.355 0.821
O 0.408 0.783 0.126
O 0.174 0.080 0.000
O 0.535 0.783 0.874
O 0.757 0.244 0.498
O 0.474 0.275 0.131
O 0.166 0.051 0.313
O 0.823 0.585 0.000
O 0.863 0.861 0.171
O 0.034 0.861 0.829
O 0.255 0.244 0.502
O 0.237 0.743 0.503
O 0.604 0.275 0.870
Ta 0.837 0.544 0.833
Ta 0.170 0.051 0.166
Ta 0.335 0.051 0.834
Ta 0.671 0.544 0.167
Na 0.260 0.522 0.000

A relaxed structure of NaBiW2O8. Source: the Alexandria database, functional PBEsol.

Calculated values
**DFT total energy**: -8.25 eV/atom
**Calculated volume**: 157.1 Å³/f.u.
**Formation energy (no corrections)**: -1972 meV per atom
**SG**: I-4, No. 82

Lattice parameters (Å, degrees): 5.269 5.269 6.775 112.89 112.89 90.00
Positions (direct):
W 0.000 0.000 0.000
W 0.250 0.750 0.500
O 0.925 0.826 0.329
O 0.851 0.243 0.178
O 0.174 0.596 0.671
O 0.497 0.075 0.671
O 0.757 0.673 0.822
O 0.065 0.149 0.822
O 0.327 0.935 0.178
O 0.404 0.503 0.329
Bi 0.750 0.250 0.500
Na 0.500 0.500 0.000

A relaxed structure of NaBi3P. Source: the Alexandria database, functional PBEsol.

Calculated values
**DFT total energy**: -2.93 eV/atom
**Calculated volume**: 151.2 Å³/f.u.
**Formation energy from the elements**: 1.077 eV/atom
**SG**: Pm-3m, No. 221

Lattice parameters (Å, degrees): 5.327 5.327 5.327 90.00 90.00 90.00
Positions (direct):
Bi 0.000 0.500 0.000
Bi 0.500 0.000 0.000
Bi 0.000 0.000 0.500
P 0.500 0.500 0.500
Na 0.000 0.000 0.000